# 1
Crystalline LiGa4Cu2 at its relaxed geometry, computed with GGA-PBE.

Structure (CIF):
```
data_LiGa4Cu2
_chemical_formula_sum 'Li4 Ga16 Cu8'
_cell_length_a 7.5862
_cell_length_b 7.5862
_cell_length_c 7.9070
_cell_angle_alpha 90.00
_cell_angle_beta 90.00
_cell_angle_gamma 90.00
_space_group_name_H-M_alt 'I -4 2 d'
_space_group_IT_number 122
_space_group_name_Hall 'I -4 2bw'
loop_
_atom_site_label
_atom_site_fract_x
_atom_site_fract_y
_atom_site_fract_z
_atom_site_occupancy
Li1 0.0000 0.0000 0.0000 1
Ga1 0.0803 0.6490 0.9200 1
Cu1 0.1924 0.7500 0.6250 1
```

Results
ΔE_f = -0.0887 eV/atom

# 2
Crystalline BaSbP2S8 at its relaxed geometry, computed with GGA-PBE.

Structure (CIF):
```
data_BaSbP2S8
_chemical_formula_sum 'Ba1 Sb1 P2 S8'
_cell_length_a 6.0759
_cell_length_b 6.0759
_cell_length_c 9.1943
_cell_angle_alpha 90.00
_cell_angle_beta 90.00
_cell_angle_gamma 120.00
_space_group_name_H-M_alt 'P -3'
_space_group_IT_number 147
loop_
_space_group_symop_operation_xyz
'x,y,z'
'-x,-y,-z'
'-y,x-y,z'
'y,-x+y,-z'
'-x+y,-x,z'
'x-y,x,-z'
loop_
_atom_site_label
_atom_site_fract_x
_atom_site_fract_y
_atom_site_fract_z
_atom_site_occupancy
Ba1 0.0000 0.0000 0.0000 1
Sb1 0.0000 0.0000 0.5000 1
P1 0.3333 0.6667 0.7489 1
S1 0.0009 0.3425 0.6874 1
S2 0.3333 0.6667 0.9677 1
```

Results
Formation energy without anion corrections = -6.0 eV per formula unit

| no. | total moment (μB per formula unit) |
| --- | --- |
| 1 | 0.000 |
| 2 | 0.000 |